1.
DFT (GGA-PBE) results for an optimized crystal structure of CeMg4Au2.

```
CeMg4Au2
1.0
4.415 0.000 0.000
0.000 8.406 0.000
0.000 0.000 8.406
Mg Ce Au
8 2 4
direct
0.500 0.589 0.163
0.000 0.911 0.663
0.000 0.089 0.337
0.500 0.163 0.589
0.500 0.411 0.837
0.500 0.837 0.411
0.000 0.663 0.911
0.000 0.337 0.089
0.000 0.500 0.500
0.500 0.000 0.000
0.500 0.288 0.288
0.000 0.788 0.212
0.500 0.712 0.712
0.000 0.212 0.788
```

Crystal system: tetragonal
Space group: P4_2/mnm (136)
Electronic total energy, eV/atom: -3.150

2.
DFT (GGA-PBE) results for an optimized crystal structure of Ce2MgAu3.

```
Ce2MgAu3
1.0
-4.230 0.818 -0.669
-1.513 -5.765 2.518
1.437 3.991 10.002
Ce Au Mg
4 6 2
direct
0.026 0.250 0.052
0.165 0.750 0.329
0.835 0.250 0.671
0.974 0.750 0.948
0.236 0.250 0.472
0.429 0.463 0.858
0.571 0.963 0.142
0.571 0.537 0.142
0.764 0.750 0.528
0.429 0.037 0.858
0.664 0.250 0.328
0.336 0.750 0.672
```

Crystal system: orthorhombic
Space group: Cmcm (63)
Electronic total energy, eV/atom: -4.404

3.
DFT (GGA-PBE) results for an optimized crystal structure of CeMgAu3.

```
CeMgAu3
1.0
3.288 0.000 -0.453
0.000 4.714 0.000
0.219 0.000 13.757
Ce Mg Au
2 2 6
direct
0.078 0.250 0.155
0.922 0.750 0.845
0.788 0.250 0.576
0.212 0.750 0.424
0.473 0.250 0.947
0.688 0.250 0.376
0.312 0.750 0.624
0.629 0.750 0.258
0.527 0.750 0.053
0.371 0.250 0.742
```

Crystal system: orthorhombic
Space group: Cmcm (63)
Electronic total energy, eV/atom: -4.075